1.
PBE SrLiFe4, optimized geometry; calculated formation energy = 0.428 eV/atom; uncorrected energy = -34.88 eV per cell; space group = F-43m (216)
1.0
0.000 3.638 3.638
3.638 0.000 3.638
3.638 3.638 0.000
Sr Li Fe
1 1 4
Direct
0.000 0.000 0.000
0.250 0.250 0.250
0.127 0.624 0.624
0.624 0.127 0.624
0.624 0.624 0.127
0.624 0.624 0.624

---

2.
PBE SrLiFe2, optimized geometry; calculated formation energy = 0.616 eV/atom; uncorrected energy = -18.06 eV per cell; space group = P2/m (10)
1.0
3.059 0.000 0.000
0.000 4.358 0.000
-1.327 0.000 6.082
Sr Li Fe
1 1 2
Direct
0.000 0.000 0.000
0.500 0.000 0.500
0.294 0.500 0.646
0.706 0.500 0.354

---

3.
PBE SrLiFe3, optimized geometry; calculated formation energy = 2.076 eV/atom; uncorrected energy = -18.61 eV per cell; polymorph energy (0 for the lowest one) = 103.5 kJ/mol of atoms; space group = Pm-3m (221)
1.0
5.017 0.000 0.000
0.000 5.017 0.000
0.000 0.000 5.017
Sr Li Fe
1 1 3
Direct
0.000 0.000 0.000
0.500 0.500 0.500
0.000 0.000 0.500
0.000 0.500 0.000
0.500 0.000 0.000

---

4.
PBE SrLi3Fe, optimized geometry; calculated formation energy = 0.487 eV/atom; uncorrected energy = -13.45 eV per cell; space group = Pm-3m (221)
1.0
4.990 0.000 0.000
0.000 4.990 0.000
0.000 0.000 4.990
Sr Li Fe
1 3 1
Direct
0.000 0.000 0.000
0.000 0.500 0.500
0.500 0.000 0.500
0.500 0.500 0.000
0.500 0.500 0.500

---

5.
PBE SrLiFe2, optimized geometry; calculated formation energy = 0.437 eV/atom; uncorrected energy = -18.77 eV per cell; space group = P4mm (99)
1.0
3.271 0.000 0.000
0.000 3.271 0.000
0.000 0.000 7.675
Sr Li Fe
1 1 2
Direct
0.000 0.000 0.000
0.500 0.500 0.626
0.000 0.000 0.410
0.500 0.500 0.293

---

6.
PBE Sr2LiFe, optimized geometry; calculated formation energy = 0.636 eV/atom; uncorrected energy = -44.79 eV per cell; polymorph energy (0 for the lowest one) = 20.2 kJ/mol of atoms; space group = F-43m (216)
1.0
7.833 0.000 0.000
0.000 7.833 0.000
0.000 0.000 7.833
Sr Li Fe
8 4 4
Direct
0.000 0.000 0.000
0.000 0.500 0.500
0.250 0.250 0.250
0.250 0.750 0.750
0.500 0.000 0.500
0.500 0.500 0.000
0.750 0.250 0.750
0.750 0.750 0.250
0.000 0.000 0.500
0.000 0.500 0.000
0.500 0.000 0.000
0.500 0.500 0.500
0.250 0.250 0.750
0.250 0.750 0.250
0.750 0.250 0.250
0.750 0.750 0.750

---

7.
PBE SrLiFe2, optimized geometry; calculated formation energy = 0.732 eV/atom; uncorrected energy = -70.37 eV per cell; space group = I-42d (122)
1.0
4.544 0.000 0.000
0.000 4.544 0.000
0.000 0.000 18.299
Sr Li Fe
4 4 8
Direct
0.000 0.000 0.000
0.000 0.500 0.250
0.500 0.000 0.750
0.500 0.500 0.500
0.000 0.000 0.500
0.000 0.500 0.750
0.500 0.000 0.250
0.500 0.500 0.000
0.013 0.250 0.625
0.250 0.513 0.875
0.250 0.987 0.375
0.487 0.250 0.125
0.513 0.750 0.125
0.750 0.013 0.375
0.750 0.487 0.875
0.987 0.750 0.625

---

8.
PBE Sr2LiFe, optimized geometry; calculated formation energy = 0.570 eV/atom; uncorrected energy = -34.38 eV per cell; polymorph energy (0 for the lowest one) = 13.9 kJ/mol of atoms; space group = R-3m (166)
1.0
3.997 0.000 0.000
-1.999 3.462 0.000
0.000 0.000 30.404
Sr Li Fe
6 3 3
Direct
0.000 0.000 0.234
0.000 0.000 0.766
0.333 0.667 0.432
0.333 0.667 0.901
0.667 0.333 0.099
0.667 0.333 0.568
0.000 0.000 0.000
0.333 0.667 0.667
0.667 0.333 0.333
0.000 0.000 0.500
0.333 0.667 0.167
0.667 0.333 0.833

---

The lowest uncorrected energy belongs to which entry? number 7